The following is a PBE with a Hubbard U calculation of AsWS2O after structural relaxation, from the Alexandria database.

Summary:
Total magnetic moment   1.352 μB/cell
Energy   -4.361 eV/atom
Calculated density   5757 kg/m3
SG   P4/mmm

The structure in extended XYZ format:
```
5
Lattice="-1.199 3.749 3.254 -3.437 0.189 -1.484 -1.648 -3.458 3.377" Properties=species:S:1:pos:R:3 pbc="T T T"
S -0.599 1.875 1.627
S -0.824 -1.729 1.688
W -1.719 0.095 -0.742
As -3.142 0.240 2.573
O 0.000 0.000 0.000
```